First-principles (PBEsol) data for crystalline ErCo9Si4 at its relaxed geometry, as listed in Alexandria.

## Properties
Crystal system: tetragonal
Energy relative to the elements, uncorrected: -0.56 eV/atom

Cell: 7.593 7.768 7.593 Å, 119.26 90.00 119.26°
Site moments in Bohr magnetons follow the coordinates.
Fractional positions:
Si 0.209 0.757 0.048  -0.05
Si 0.791 0.243 0.952  -0.05
Si 0.548 0.757 0.709  0.14
Si 0.709 0.757 0.209  0.14
Si 0.952 0.243 0.452  0.14
Si 0.452 0.243 0.291  0.14
Si 0.291 0.243 0.791  0.14
Si 0.048 0.757 0.548  0.14
Co 0.500 0.000 0.000  0.14
Co 0.000 0.000 0.500  0.14
Co 0.690 0.639 0.450  0.14
Co 0.310 0.361 0.550  0.14
Co 0.950 0.639 0.190  0.66
Co 0.190 0.639 0.690  0.66
Co 0.550 0.361 0.050  0.66
Co 0.050 0.361 0.810  0.66
Co 0.810 0.361 0.310  0.66
Co 0.450 0.639 0.950  0.66
Co 0.801 0.000 0.071  0.66
Co 0.199 0.000 0.929  0.66
Co 0.929 0.000 0.801  -0.01
Co 0.301 0.000 0.429  -0.01
Co 0.071 0.000 0.199  -0.01
Co 0.699 0.000 0.571  -0.01
Co 0.429 0.000 0.699  -0.01
Co 0.571 0.000 0.301  -0.01
Er 0.750 0.500 0.750  -0.01
Er 0.250 0.500 0.250  -0.01